# Cr2FeMo, relaxed, DFT PBE
data_Cr2FeMo
_symmetry_space_group_name_H-M 'P 1'
_symmetry_Int_Tables_number 1
_cell_length_a 2.935
_cell_length_b 2.935
_cell_length_c 5.858
_cell_angle_alpha 90.00
_cell_angle_beta 90.00
_cell_angle_gamma 90.00
loop_
_symmetry_equiv_pos_as_xyz
'x,y,z'
loop_
_atom_site_label
_atom_site_type_symbol
_atom_site_fract_x
_atom_site_fract_y
_atom_site_fract_z
_atom_site_occupancy
Cr1 Cr 0.000 0.000 0.019 1
Cr2 Cr 0.500 0.500 0.244 1
Fe1 Fe 0.000 0.000 0.486 1
Mo1 Mo 0.500 0.500 0.751 1
# Excess energy over the best structure of this formula in the dataset, meV per atom: 27
# V, Å³ per cell: 50.5
# ΔH_f (0 K), meV per atom: 131